MnCrTe2N: relaxed, PBE.

```
data_MnCrTe2N
_symmetry_space_group_name_H-M 'P 1'
_symmetry_Int_Tables_number 1
_symmetry_space_group_name_Hall 'P 1'
_cell_length_a 5.3833
_cell_length_b 5.3833
_cell_length_c 3.5420
_cell_angle_alpha 90.00
_cell_angle_beta 90.00
_cell_angle_gamma 90.00
loop_
_atom_site_label
_atom_site_type_symbol
_atom_site_fract_x
_atom_site_fract_y
_atom_site_fract_z
Cr1 Cr 0.0000 0.0000 0.0000
Te1 Te 0.0000 0.5000 0.0000
Te2 Te 0.5000 0.0000 0.0000
Mn1 Mn 0.5000 0.5000 0.5000
N1 N 0.0000 0.0000 0.5000
```

Results
As for the space group: P4/mmm (123). The value obtained for the energy above the most stable polymorph in this dataset is 0 meV/atom. For the uncorrected formation energy, the calculation gives 1.3 eV/f.u. The crystal system is tetragonal.

PmPdPtRh: relaxed, PBE.

```
data_PmPdPtRh
_symmetry_space_group_name_H-M 'P 1'
_symmetry_Int_Tables_number 1
_symmetry_space_group_name_Hall 'P 1'
_cell_length_a 4.6897
_cell_length_b 4.6897
_cell_length_c 4.6897
_cell_angle_alpha 60.00
_cell_angle_beta 60.00
_cell_angle_gamma 60.00
loop_
_atom_site_label
_atom_site_type_symbol
_atom_site_fract_x
_atom_site_fract_y
_atom_site_fract_z
Rh1 Rh 0.0000 0.0000 0.0000
Pd1 Pd 0.5000 0.5000 0.5000
Pt1 Pt 0.2500 0.2500 0.2500
Pm1 Pm 0.7500 0.7500 0.7500
```

Results
As for the space group: F-43m (216). The calculation puts the energy relative to the elements at -2.03 eV per formula unit. The crystal system is cubic.

La2AlVSn: relaxed, PBE.

```
data_La2AlVSn
_symmetry_space_group_name_H-M 'P 1'
_symmetry_Int_Tables_number 1
_symmetry_space_group_name_Hall 'P 1'
_cell_length_a 5.7325
_cell_length_b 4.8162
_cell_length_c 5.7325
_cell_angle_alpha 90.00
_cell_angle_beta 90.00
_cell_angle_gamma 90.00
loop_
_atom_site_label
_atom_site_type_symbol
_atom_site_fract_x
_atom_site_fract_y
_atom_site_fract_z
Al1 Al 0.0000 0.0000 0.0000
V1 V 0.0000 0.5000 0.0000
Sn1 Sn 0.5000 0.5000 0.5000
La1 La 0.0000 0.0000 0.5000
La2 La 0.5000 0.0000 0.0000
```

Results
As for the space group: P4/mmm (123). The calculation puts the energy relative to the elements at 1.27 eV per formula unit. The crystal system is tetragonal.

LiLa2MgN: relaxed, PBE.

```
data_LiLa2MgN
_symmetry_space_group_name_H-M 'P 1'
_symmetry_Int_Tables_number 1
_symmetry_space_group_name_Hall 'P 1'
_cell_length_a 5.1626
_cell_length_b 4.4555
_cell_length_c 5.1626
_cell_angle_alpha 90.00
_cell_angle_beta 90.00
_cell_angle_gamma 90.00
loop_
_atom_site_label
_atom_site_type_symbol
_atom_site_fract_x
_atom_site_fract_y
_atom_site_fract_z
Mg1 Mg 0.0000 0.5000 0.0000
N1 N 0.0000 0.0000 0.0000
Li1 Li 0.5000 0.5000 0.5000
La1 La 0.0000 0.0000 0.5000
La2 La 0.5000 0.0000 0.0000
```

Results
As for the space group: P4/mmm (123). The value obtained for the energy above the most stable polymorph in this dataset is 45 meV/atom. For the uncorrected formation energy, the calculation gives -2.1 eV/f.u. The crystal system is tetragonal.

KSeI4: relaxed, PBE.

```
data_KSeI4
_symmetry_space_group_name_H-M 'P 1'
_symmetry_Int_Tables_number 1
_symmetry_space_group_name_Hall 'P 1'
_cell_length_a 7.3327
_cell_length_b 9.5418
_cell_length_c 11.3539
_cell_angle_alpha 90.00
_cell_angle_beta 90.00
_cell_angle_gamma 126.60
loop_
_atom_site_label
_atom_site_type_symbol
_atom_site_fract_x
_atom_site_fract_y
_atom_site_fract_z
K1 K 0.0364 0.6968 0.7500
K2 K 0.9636 0.3032 0.2500
Se1 Se 0.9793 0.1182 0.7500
Se2 Se 0.0207 0.8818 0.2500
I1 I 0.6042 0.7745 0.7500
I2 I 0.3958 0.2255 0.2500
I3 I 0.3833 0.1800 0.7500
I4 I 0.6167 0.8200 0.2500
I5 I 0.0111 0.6415 0.0728
I6 I 0.9889 0.3585 0.5728
I7 I 0.0111 0.6415 0.4272
I8 I 0.9889 0.3585 0.9272
```

Results
As for the space group: P2_1/m (11). The value obtained for the energy above the most stable polymorph in this dataset is 6 meV/atom. For the uncorrected formation energy, the calculation gives -2.4 eV/f.u. The crystal system is monoclinic.

CrOsPdPb2: relaxed, PBE.

```
data_CrOsPdPb2
_symmetry_space_group_name_H-M 'P 1'
_symmetry_Int_Tables_number 1
_symmetry_space_group_name_Hall 'P 1'
_cell_length_a 5.1322
_cell_length_b 4.5954
_cell_length_c 5.1322
_cell_angle_alpha 90.00
_cell_angle_beta 90.00
_cell_angle_gamma 90.00
loop_
_atom_site_label
_atom_site_type_symbol
_atom_site_fract_x
_atom_site_fract_y
_atom_site_fract_z
Pb1 Pb 0.0000 0.0000 0.5000
Pb2 Pb 0.5000 0.0000 0.0000
Cr1 Cr 0.0000 0.0000 0.0000
Os1 Os 0.5000 0.5000 0.5000
Pd1 Pd 0.0000 0.5000 0.0000
```

Results
As for the space group: P4/mmm (123). The calculation puts the energy relative to the elements at 7.77 eV per formula unit. The crystal system is tetragonal.

CdTcOs2: relaxed, PBE.

```
data_CdTcOs2
_symmetry_space_group_name_H-M 'P 1'
_symmetry_Int_Tables_number 1
_symmetry_space_group_name_Hall 'P 1'
_cell_length_a 4.8897
_cell_length_b 4.8897
_cell_length_c 4.8862
_cell_angle_alpha 79.49
_cell_angle_beta 79.49
_cell_angle_gamma 33.38
loop_
_atom_site_label
_atom_site_type_symbol
_atom_site_fract_x
_atom_site_fract_y
_atom_site_fract_z
Cd1 Cd 0.2495 0.2495 0.2556
Os1 Os 0.0156 0.0156 0.9631
Os2 Os 0.7507 0.7507 0.7598
Tc1 Tc 0.4842 0.4842 0.5216
```

Results
As for the space group: Cm (8). The calculation puts the energy relative to the elements at 1.98 eV per formula unit. The crystal system is monoclinic.

CeErCoOs: relaxed, PBE.

```
data_CeErCoOs
_symmetry_space_group_name_H-M 'P 1'
_symmetry_Int_Tables_number 1
_symmetry_space_group_name_Hall 'P 1'
_cell_length_a 4.7994
_cell_length_b 4.7994
_cell_length_c 4.7994
_cell_angle_alpha 60.00
_cell_angle_beta 60.00
_cell_angle_gamma 60.00
loop_
_atom_site_label
_atom_site_type_symbol
_atom_site_fract_x
_atom_site_fract_y
_atom_site_fract_z
Co1 Co 0.7500 0.7500 0.7500
Os1 Os 0.2500 0.2500 0.2500
Ce1 Ce 0.5000 0.5000 0.5000
Er1 Er 0.0000 0.0000 0.0000
```

Results
As for the space group: F-43m (216). The calculation puts the energy relative to the elements at -0.72 eV per formula unit. The crystal system is cubic.

KBa2Cr: relaxed, PBE.

```
data_KBa2Cr
_symmetry_space_group_name_H-M 'P 1'
_symmetry_Int_Tables_number 1
_symmetry_space_group_name_Hall 'P 1'
_cell_length_a 12.2058
_cell_length_b 12.2058
_cell_length_c 12.2058
_cell_angle_alpha 21.96
_cell_angle_beta 21.96
_cell_angle_gamma 21.96
loop_
_atom_site_label
_atom_site_type_symbol
_atom_site_fract_x
_atom_site_fract_y
_atom_site_fract_z
Ba1 Ba 0.9733 0.9733 0.9733
Ba2 Ba 0.5267 0.5267 0.5267
Cr1 Cr 0.2500 0.2500 0.2500
K1 K 0.7500 0.7500 0.7500
```

Results
As for the space group: R-3m (166). The value obtained for the energy above the most stable polymorph in this dataset is 70 meV/atom. The calculation puts the energy relative to the elements at 2.05 eV per formula unit. The crystal system is trigonal.

LiEuGd: relaxed, PBE.

```
data_LiEuGd
_symmetry_space_group_name_H-M 'P 1'
_symmetry_Int_Tables_number 1
_symmetry_space_group_name_Hall 'P 1'
_cell_length_a 3.8036
_cell_length_b 3.8036
_cell_length_c 7.1113
_cell_angle_alpha 105.51
_cell_angle_beta 105.51
_cell_angle_gamma 90.00
loop_
_atom_site_label
_atom_site_type_symbol
_atom_site_fract_x
_atom_site_fract_y
_atom_site_fract_z
Eu1 Eu 0.0099 0.0099 0.0197
Gd1 Gd 0.3183 0.3183 0.6366
Li1 Li 0.6718 0.6718 0.3436
```

Results
As for the space group: I4mm (107). The value obtained for the energy above the most stable polymorph in this dataset is 0 meV/atom. The calculation puts the energy relative to the elements at 0.30 eV per formula unit. The crystal system is tetragonal.

CaWS2: relaxed, PBE.

```
data_CaWS2
_symmetry_space_group_name_H-M 'P 1'
_symmetry_Int_Tables_number 1
_symmetry_space_group_name_Hall 'P 1'
_cell_length_a 8.3729
_cell_length_b 8.3729
_cell_length_c 8.3729
_cell_angle_alpha 24.43
_cell_angle_beta 24.43
_cell_angle_gamma 24.43
loop_
_atom_site_label
_atom_site_type_symbol
_atom_site_fract_x
_atom_site_fract_y
_atom_site_fract_z
Ca1 Ca 0.5000 0.5000 0.5000
S1 S 0.9068 0.9068 0.9068
S2 S 0.0932 0.0932 0.0932
W1 W 0.0000 0.0000 0.0000
```

Results
As for the space group: R-3m (166). The value obtained for the energy above the most stable polymorph in this dataset is 376 meV/atom. For the uncorrected formation energy, the calculation gives -0.7 eV/f.u. The crystal system is trigonal.

NaCdGa2Ni: relaxed, PBE.

```
data_NaCdGa2Ni
_symmetry_space_group_name_H-M 'P 1'
_symmetry_Int_Tables_number 1
_symmetry_space_group_name_Hall 'P 1'
_cell_length_a 4.6028
_cell_length_b 4.6028
_cell_length_c 5.0318
_cell_angle_alpha 90.00
_cell_angle_beta 90.00
_cell_angle_gamma 90.00
loop_
_atom_site_label
_atom_site_type_symbol
_atom_site_fract_x
_atom_site_fract_y
_atom_site_fract_z
Ni1 Ni 0.0000 0.0000 0.0000
Na1 Na 0.5000 0.5000 0.5000
Ga1 Ga 0.0000 0.5000 0.0000
Ga2 Ga 0.5000 0.0000 0.0000
Cd1 Cd 0.0000 0.0000 0.5000
```

Results
As for the space group: P4/mmm (123). The calculation puts the energy relative to the elements at -0.62 eV per formula unit. The crystal system is tetragonal.

Calculated total energy
In order: -6.41; -6.34; -5.09; -4.75; -2.19; -5.14; -7.94; -7.39; -3.13; -8.66; -5.98; -2.94
Unit: eV/atom